## HgOsSe2 (PBE)

Data for crystalline HgOsSe2 at its relaxed geometry.

Unit cell a=4.098 b=4.098 c=4.471 alpha=90.00 beta=90.00 gamma=90.00
Positions (direct):
Hg 0.000 0.000 0.000
Os 0.500 0.500 0.000
Se 0.000 0.500 0.500
Se 0.500 0.000 0.500

total magnetization: 0.00 μB/atom
V: 75.1 Å³/cell
raw formation energy: 1.030 eV per atom
symmetry: P4/mmm (123)
density of states at the Fermi level: 3.41 states/eV/cell